# TiAuS3

A relaxed TiAuS3 crystal (GGA-PBEsol, the Alexandria database).

abc: 4.6175 4.6175 4.6175
angles: 90.00 90.00 90.00
Fractional positions:
Ti 0.0000 0.0000 0.0000
Au 0.5000 0.5000 0.5000
S 0.0000 0.0000 0.5000
S 0.0000 0.5000 0.0000
S 0.5000 0.0000 0.0000

Summary:
* D(E_F): 0.8002 states/eV/atom
* formation energy without anion corrections: -68 meV/atom
* space-group type: Pm-3m (221)

=====

# Ti3AuS

A relaxed Ti3AuS crystal (GGA-PBEsol, the Alexandria database).

abc: 4.4013 4.4013 4.4013
angles: 90.00 90.00 90.00
Fractional positions:
Ti 0.0000 0.0000 0.5000
Ti 0.0000 0.5000 0.0000
Ti 0.5000 0.0000 0.0000
Au 0.5000 0.5000 0.5000
S 0.0000 0.0000 0.0000

Summary:
* D(E_F): 1.0854 states/eV/atom
* formation energy without anion corrections: -514 meV/atom
* space-group type: Pm-3m (221)